[1]
Below is a relaxed structure of In2HgW, with properties calculated at the PBEsol level.

a = 5.217 Å, b = 5.217 Å, c = 2.921 Å
α = 90.00°, β = 90.00°, γ = 90.00°
Fractional positions:
In  0.000  0.500  0.000
In  0.500  0.000  0.000
Hg  0.000  0.000  0.500
W  0.500  0.500  0.500

Values from the calculation:
Total DFT energy (no corrections) (eV per cell): -18.322

[2]
Below is a relaxed structure of Dy2InNi2, with properties calculated at the PBEsol level.

a = 3.879 Å, b = 14.006 Å, c = 3.579 Å
α = 90.00°, β = 90.00°, γ = 90.00°
Fractional positions:
Dy  0.000  0.138  0.000
Dy  0.000  0.862  0.000
Dy  0.500  0.362  0.000
Dy  0.500  0.638  0.000
In  0.000  0.500  0.500
In  0.500  0.000  0.500
Ni  0.000  0.301  0.500
Ni  0.000  0.699  0.500
Ni  0.500  0.199  0.500
Ni  0.500  0.801  0.500

Values from the calculation:
Total DFT energy (no corrections) (eV per cell): -56.033

[3]
Below is a relaxed structure of ScReAg2Te, with properties calculated at the PBEsol level.

a = 4.965 Å, b = 4.965 Å, c = 5.283 Å
α = 90.00°, β = 90.00°, γ = 90.00°
Fractional positions:
Sc  0.000  0.000  0.000
Re  0.500  0.500  0.000
Ag  0.000  0.500  0.500
Ag  0.500  0.000  0.500
Te  0.000  0.000  0.500

Values from the calculation:
ΔE_f (raw) (eV per atom): 1.4763

[4]
Below is a relaxed structure of Sc3NbCo, with properties calculated at the PBEsol level.

a = 4.887 Å, b = 4.887 Å, c = 4.887 Å
α = 90.00°, β = 90.00°, γ = 90.00°
Fractional positions:
Sc  0.000  0.000  0.500
Sc  0.000  0.500  0.000
Sc  0.500  0.000  0.000
Nb  0.000  0.000  0.000
Co  0.500  0.500  0.500

Values from the calculation:
Total DFT energy (no corrections) (eV per cell): -32.841

[5]
Below is a relaxed structure of BaCa2Os, with properties calculated at the PBEsol level.

a = 6.391 Å, b = 10.349 Å, c = 3.370 Å
α = 90.00°, β = 108.44°, γ = 90.00°
Fractional positions:
Ba  0.000  0.000  0.000
Ba  0.500  0.500  0.000
Ca  0.250  0.250  0.500
Ca  0.250  0.750  0.500
Ca  0.750  0.250  0.500
Ca  0.750  0.750  0.500
Os  0.000  0.500  0.000
Os  0.500  0.000  0.000

Values from the calculation:
Total DFT energy (no corrections) (eV per cell): -30.303

[6]
Below is a relaxed structure of Cs2CrCdSb, with properties calculated at the PBEsol level.

a = 7.334 Å, b = 7.334 Å, c = 5.090 Å
α = 90.00°, β = 90.00°, γ = 90.00°
Fractional positions:
Cs  0.000  0.500  0.000
Cs  0.500  0.000  0.000
Cr  0.000  0.000  0.500
Cd  0.500  0.500  0.500
Sb  0.000  0.000  0.000

Values from the calculation:
ΔE_f (raw) (eV per atom): 0.3820

[7]
Below is a relaxed structure of Li4Cr3Fe2Sb3O16, with properties calculated at the PBEsol level.

a = 6.005 Å, b = 6.005 Å, c = 9.620 Å
α = 90.04°, β = 90.04°, γ = 60.60°
Fractional positions:
Li  0.000  0.000  0.000
Li  0.004  0.004  0.513
Li  0.350  0.350  0.407
Li  0.685  0.685  0.884
Cr  0.187  0.680  0.722
Cr  0.680  0.187  0.722
Cr  0.850  0.850  0.223
Fe  0.366  0.366  0.991
Fe  0.694  0.694  0.518
Sb  0.187  0.187  0.723
Sb  0.357  0.851  0.224
Sb  0.851  0.357  0.224
O  0.013  0.013  0.328
O  0.015  0.015  0.819
O  0.053  0.501  0.843
O  0.175  0.699  0.111
O  0.177  0.177  0.104
O  0.333  0.860  0.608
O  0.354  0.354  0.613
O  0.498  0.498  0.837
O  0.501  0.053  0.843
O  0.533  0.533  0.347
O  0.542  0.983  0.341
O  0.690  0.690  0.108
O  0.699  0.175  0.111
O  0.854  0.854  0.619
O  0.860  0.333  0.608
O  0.983  0.542  0.341

Values from the calculation:
ΔE_f (raw) (eV per atom): -1.6354

[8]
Below is a relaxed structure of Mg2ZrPt, with properties calculated at the PBEsol level.

a = 6.574 Å, b = 6.574 Å, c = 6.574 Å
α = 90.00°, β = 90.00°, γ = 90.00°
Fractional positions:
Mg  0.000  0.000  0.000
Mg  0.000  0.500  0.500
Mg  0.250  0.250  0.250
Mg  0.250  0.750  0.750
Mg  0.500  0.000  0.500
Mg  0.500  0.500  0.000
Mg  0.750  0.250  0.750
Mg  0.750  0.750  0.250
Zr  0.250  0.250  0.750
Zr  0.250  0.750  0.250
Zr  0.750  0.250  0.250
Zr  0.750  0.750  0.750
Pt  0.000  0.000  0.500
Pt  0.000  0.500  0.000
Pt  0.500  0.000  0.000
Pt  0.500  0.500  0.500

Values from the calculation:
Total DFT energy (no corrections) (eV per cell): -86.899

M_tot per entry: 0.0, 0.0, 3.0, 1.3, 0.0, 4.6, 0.0, 0.0 Bohr magnetons per cell